! Rb2YWCl6 | the Alexandria database | PBE | relaxed; values from VASP
&SYSTEM
  ibrav = 0, nat = 10, ntyp = 4
/
ATOMIC_SPECIES
Rb 85.47 Rb.upf
Y 88.91 Y.upf
W 183.84 W.upf
Cl 35.45 Cl.upf
CELL_PARAMETERS angstrom
0.0000 5.1346 5.1346
5.1346 0.0000 5.1346
5.1346 5.1346 0.0000
ATOMIC_POSITIONS angstrom
Rb 2.5673 2.5673 2.5673
Rb 7.7019 7.7019 7.7019
Y 0.0000 0.0000 0.0000
W 5.1346 5.1346 5.1346
Cl 5.1346 5.1346 2.6587
Cl 5.1346 2.6587 5.1346
Cl 7.6105 5.1346 5.1346
Cl 2.6587 5.1346 5.1346
Cl 5.1346 7.6105 5.1346
Cl 5.1346 5.1346 7.6105
! ΔE_f (raw)   -1.288 eV per atom
! Total moment   1.000 Bohr magnetons per cell
! SG   Fm-3m (225)